A plane-wave DFT calculation with PBE-GGA was carried out for Fe2SnPd9 after structural relaxation.

Cell lengths 3.9535, 3.9535, 11.7658 Å; angles 90.00, 90.00, 90.00 degrees
Sites, in units of the cell vectors:
Pd: 0.5000 0.0000 0.8237
Pd: 0.5000 0.0000 0.1763
Pd: 0.0000 0.5000 0.1763
Pd: 0.0000 0.5000 0.5000
Fe: 0.0000 0.0000 0.6625
Pd: 0.0000 0.5000 0.8237
Fe: 0.0000 0.0000 0.3375
Pd: 0.5000 0.0000 0.5000
Pd: 0.5000 0.5000 0.6621
Sn: 0.0000 0.0000 0.0000
Pd: 0.5000 0.5000 0.0000
Pd: 0.5000 0.5000 0.3379

Summary:
The raw total energy is -70.3 eV per cell. For the size of the total moment, the calculation gives 9.01 μB/f.u. The formation energy is -0.22 eV/atom. The volume is 15.32 Å³ per atom.